Compound: Li7ErCd4
Source: the Alexandria database
Functional: PBE
Structure: relaxed

Unit cell a=5.048 b=7.869 c=7.369 alpha=65.47 beta=69.97 gamma=71.29
Fractional coordinates of all 12 atoms:
Li 0.784 0.892 0.540
Li 0.216 0.108 0.460
Li 0.083 0.546 0.288
Li 0.267 0.692 0.773
Li 0.917 0.454 0.712
Li 0.500 0.000 0.000
Li 0.733 0.308 0.227
Cd 0.320 0.331 0.028
Cd 0.551 0.274 0.624
Cd 0.449 0.726 0.376
Cd 0.680 0.669 0.972
Er 0.000 0.000 0.000

Values from the calculation:
DOS at the Fermi energy in states/eV/f.u.: 5.54
DFT formation energy in eV/atom: -0.0225
Calculated density in g/cm³: 4.52